[1]
An optimized crystal structure of Hf2PdRh3, computed with PBE.

Cell: 8.4551 8.4551 8.4374 Å, 120.07 120.07 90.00°
Last column: nearest neighbours and their distance in Å.
Fractional positions:
1 Hf 0.8987 0.6999 0.7974  7 Rh 2.63-2.83, 2 Pd 2.63-2.86
2 Hf 0.3513 0.6525 0.7026  7 Rh 2.63-2.83, 2 Pd 2.63-2.86
3 Hf 0.3001 0.1013 0.2026  7 Rh 2.63-2.83, 2 Pd 2.63-2.86
4 Hf 0.3475 0.6487 0.2974  7 Rh 2.63-2.83, 2 Pd 2.63-2.86
5 Hf 0.9025 0.1013 0.2026  7 Rh 2.63-2.83, 2 Pd 2.63-2.86
6 Hf 0.9499 0.6487 0.2974  7 Rh 2.63-2.83, 2 Pd 2.63-2.86
7 Hf 0.3513 0.0501 0.7026  7 Rh 2.63-2.83, 2 Pd 2.63-2.86
8 Hf 0.8987 0.0975 0.7974  7 Rh 2.63-2.83, 2 Pd 2.63-2.86
9 Pd 0.2952 0.2952 0.5905  4 Hf 2.63-2.86, 2 Rh 2.93
10 Pd 0.7048 0.7048 0.4095  4 Hf 2.63-2.86, 2 Rh 2.93
11 Pd 0.5452 0.0452 0.0905  4 Hf 2.63-2.86, 2 Rh 2.93
12 Pd 0.9548 0.4548 0.9095  4 Hf 2.63-2.86, 2 Rh 2.93
13 Rh 0.2887 0.7113 0.0000  4 Hf 2.63-2.83, 2 Rh 2.88
14 Rh 0.1250 0.8750 0.2500  6 Hf 2.72-2.73, 4 Rh 2.88, 2 Pd 2.93
15 Rh 0.1250 0.3750 0.2500  6 Hf 2.72-2.73, 4 Rh 2.88, 2 Pd 2.93
16 Rh 0.7113 0.7113 0.0000  4 Hf 2.63-2.83, 2 Rh 2.88
17 Rh 0.7113 0.2887 0.0000  4 Hf 2.63-2.83, 2 Rh 2.88
18 Rh 0.9613 0.4613 0.5000  4 Hf 2.63-2.83, 2 Rh 2.88
19 Rh 0.6250 0.8750 0.7500  6 Hf 2.72-2.73, 4 Rh 2.88, 2 Pd 2.93
20 Rh 0.1250 0.8750 0.7500  6 Hf 2.72-2.73, 4 Rh 2.88, 2 Pd 2.93
21 Rh 0.5387 0.0387 0.5000  4 Hf 2.63-2.83, 2 Rh 2.88
22 Rh 0.5387 0.4613 0.5000  4 Hf 2.63-2.83, 2 Rh 2.88
23 Rh 0.2887 0.2887 0.0000  4 Hf 2.63-2.83, 2 Rh 2.88
24 Rh 0.9613 0.0387 0.5000  4 Hf 2.63-2.83, 2 Rh 2.88

Output
The density is 12.050 Mg/m³. The raw total energy comes out at -0.6174 Ry per atom. The crystal system is tetragonal. The value obtained for the volume is 17.73 Å³/atom.


[2]
An optimized crystal structure of Hf2ScPdRh, computed with PBE.

Cell: 4.9303 4.9049 4.9303 Å, 90.00 90.00 90.00°
Last column: nearest neighbours and their distance in Å.
Fractional positions:
1 Sc 0.0000 0.5000 0.0000  2 Rh 2.45
2 Rh 0.0000 0.0000 0.0000  2 Sc 2.45, 4 Hf 2.47
3 Hf 0.0000 0.0000 0.5000  2 Rh 2.47
4 Hf 0.5000 0.0000 0.0000  2 Rh 2.47
5 Pd 0.5000 0.5000 0.5000  8 Hf 3.48, 4 Sc 3.49

Output
The density is 8.513 Mg/m³. The raw total energy comes out at -0.5611 Ry per atom. The crystal system is tetragonal. The value obtained for the volume is 23.85 Å³/atom.


Number 1: density of states at the Fermi level 4.31 states/eV/f.u., energy relative to the elements -52 kJ/mol of atoms. Number 2: density of states at the Fermi level 7.02 states/eV/f.u., energy relative to the elements 12 kJ/mol of atoms.